(1)
This record from Alexandria describes a relaxed MgZn2In2Pt5 crystal. The functional is PBE-GGA.

Cell and atoms, written as POSCAR:
```
MgZn2In2Pt5
1.0
-1.991 -0.829 -3.259
7.838 0.760 -4.982
1.691 -9.075 1.275
Pt Zn In Mg
10 4 4 2
direct
0.500 0.086 0.806
0.500 0.194 0.086
0.500 0.806 0.914
0.500 0.306 0.586
0.500 0.500 0.000
0.500 0.694 0.414
0.500 0.000 0.500
0.500 0.414 0.306
0.500 0.586 0.694
0.500 0.914 0.194
0.000 0.625 0.875
0.000 0.125 0.625
0.000 0.875 0.375
0.000 0.375 0.125
0.000 0.672 0.172
0.000 0.828 0.672
0.000 0.328 0.828
0.000 0.172 0.328
0.000 0.500 0.500
0.000 0.000 0.000
```

Values from the calculation:
energy: -4.43 eV/atom

(2)
This record from Alexandria describes a relaxed MgZnInPt crystal. The functional is PBE-GGA.

Cell and atoms, written as POSCAR:
```
MgZnInPt
1.0
4.635 0.000 0.000
2.318 4.014 0.000
2.318 1.338 3.785
Pt Mg Zn In
1 1 1 1
direct
0.000 0.000 0.000
0.750 0.750 0.750
0.500 0.500 0.500
0.250 0.250 0.250
```

Values from the calculation:
energy: -3.26 eV/atom

(3)
This record from Alexandria describes a relaxed Mg2Zn2InPt5 crystal. The functional is PBE-GGA.

Cell and atoms, written as POSCAR:
```
Mg2Zn2InPt5
1.0
3.862 0.000 0.000
0.000 9.328 0.000
0.000 0.000 9.328
Mg Zn Pt In
4 4 10 2
direct
0.000 0.827 0.673
0.000 0.673 0.173
0.000 0.173 0.327
0.000 0.327 0.827
0.000 0.876 0.376
0.000 0.376 0.124
0.000 0.624 0.876
0.000 0.124 0.624
0.500 0.922 0.202
0.500 0.578 0.702
0.500 0.078 0.798
0.500 0.298 0.578
0.500 0.702 0.422
0.500 0.000 0.500
0.500 0.798 0.922
0.500 0.202 0.078
0.500 0.500 0.000
0.500 0.422 0.298
0.000 0.500 0.500
0.000 0.000 0.000
```

Values from the calculation:
energy: -4.45 eV/atom

(4)
This record from Alexandria describes a relaxed PuMg3In3 crystal. The functional is PBE-GGA.

Cell and atoms, written as POSCAR:
```
PuMg3In3
1.0
-2.500 -7.313 1.126
2.932 0.112 7.238
-6.793 2.739 2.709
Mg In Pu
6 6 2
direct
0.500 0.250 0.000
0.000 0.500 0.750
0.000 0.500 0.250
0.500 0.750 0.000
0.250 0.000 0.500
0.750 0.000 0.500
0.000 0.750 0.500
0.000 0.250 0.500
0.750 0.500 0.000
0.250 0.500 0.000
0.500 0.000 0.750
0.500 0.000 0.250
0.500 0.500 0.500
0.000 0.000 0.000
```

Values from the calculation:
energy: -3.39 eV/atom

(5)
This record from Alexandria describes a relaxed PuMg3In4 crystal. The functional is PBE-GGA.

Cell and atoms, written as POSCAR:
```
PuMg3In4
1.0
-1.617 0.014 4.796
-2.683 -6.997 -0.884
8.888 -3.788 3.008
Pu Mg In
2 6 8
direct
0.000 0.500 0.500
0.000 0.500 0.000
0.496 0.000 0.250
0.502 0.500 0.750
0.000 0.000 0.500
0.498 0.500 0.250
0.504 0.000 0.750
0.000 0.000 0.000
0.500 0.235 0.500
0.500 0.235 0.000
0.003 0.235 0.750
0.997 0.235 0.250
0.500 0.765 0.500
0.500 0.765 0.000
0.997 0.765 0.250
0.003 0.765 0.750
```

Values from the calculation:
energy: -3.89 eV/atom

(6)
This record from Alexandria describes a relaxed PuMgIn crystal. The functional is PBE-GGA.

Cell and atoms, written as POSCAR:
```
PuMgIn
1.0
3.158 0.000 0.000
0.000 3.158 0.000
-1.579 -1.579 14.944
In Pu Mg
2 2 2
direct
0.864 0.864 0.729
0.136 0.136 0.271
0.552 0.552 0.104
0.448 0.448 0.896
0.289 0.289 0.577
0.711 0.711 0.423
```

Values from the calculation:
energy: -6.16 eV/atom

(7)
This record from Alexandria describes a relaxed PuMgIn crystal. The functional is PBE-GGA.

Cell and atoms, written as POSCAR:
```
PuMgIn
1.0
-3.186 0.459 -0.087
-0.403 -3.000 -1.099
1.267 -1.114 7.290
In Mg Pu
1 1 1
direct
0.278 0.278 0.555
0.624 0.624 0.249
0.948 0.948 0.896
```

Values from the calculation:
energy: -6.28 eV/atom

(8)
This record from Alexandria describes a relaxed PuMgIn2 crystal. The functional is PBE-GGA.

Cell and atoms, written as POSCAR:
```
PuMgIn2
1.0
-2.837 0.836 1.503
-1.134 -1.818 2.532
4.020 5.711 8.075
In Mg Pu
2 1 1
direct
0.255 0.255 0.236
0.745 0.745 0.764
0.000 0.000 0.000
0.500 0.500 0.500
```

Values from the calculation:
energy: -5.41 eV/atom

(9)
This record from Alexandria describes a relaxed PuMgIn crystal. The functional is PBE-GGA.

Cell and atoms, written as POSCAR:
```
PuMgIn
1.0
-2.938 -1.307 0.096
2.051 -4.505 1.456
-1.422 3.457 3.557
Pu In Mg
1 1 1
direct
0.667 0.333 0.667
0.166 0.000 0.000
0.167 0.667 0.333
```

Values from the calculation:
energy: -6.34 eV/atom

(10)
This record from Alexandria describes a relaxed PuMg4In4 crystal. The functional is PBE-GGA.

Cell and atoms, written as POSCAR:
```
PuMg4In4
1.0
6.710 0.000 0.000
0.000 6.710 0.000
0.000 0.000 10.190
Mg In Pu
8 8 2
direct
0.718 0.000 0.572
0.500 0.782 0.072
0.782 0.500 0.928
0.218 0.500 0.928
0.000 0.718 0.428
0.000 0.282 0.428
0.500 0.218 0.072
0.282 0.000 0.572
0.268 0.000 0.282
0.000 0.268 0.718
0.232 0.500 0.218
0.500 0.768 0.782
0.768 0.500 0.218
0.732 0.000 0.282
0.000 0.732 0.718
0.500 0.232 0.782
0.500 0.500 0.500
0.000 0.000 0.000
```

Values from the calculation:
energy: -3.51 eV/atom

(11)
This record from Alexandria describes a relaxed PuMg2In crystal. The functional is PBE-GGA.

Cell and atoms, written as POSCAR:
```
PuMg2In
1.0
3.212 0.000 0.000
0.000 3.212 0.000
0.000 0.000 9.427
In Pu Mg
1 1 2
direct
0.500 0.500 0.000
0.500 0.500 0.500
0.000 0.000 0.233
0.000 0.000 0.767
```

Values from the calculation:
energy: -5.06 eV/atom
energy above the lowest structure with this stoichiometry: 0 meV per atom

(12)
This record from Alexandria describes a relaxed PuMg8In6 crystal. The functional is PBE-GGA.

Cell and atoms, written as POSCAR:
```
PuMg8In6
1.0
8.765 0.000 0.000
4.382 7.590 0.000
4.382 2.530 6.016
In Mg Pu
6 8 1
direct
0.943 0.283 0.175
0.283 0.599 0.175
0.057 0.717 0.825
0.717 0.401 0.825
0.599 0.943 0.175
0.401 0.057 0.825
0.663 0.663 0.012
0.554 0.220 0.338
0.446 0.780 0.662
0.220 0.888 0.338
0.888 0.554 0.338
0.112 0.446 0.662
0.337 0.337 0.988
0.780 0.112 0.662
0.000 0.000 0.000
```

Values from the calculation:
energy: -2.86 eV/atom

no.,formation enthalpy at 0 K (eV/atom),mass density (g cm⁻³)
1,-0.452,13.31
2,-0.351,9.42
3,-0.577,12.55
4,0.518,4.61
5,-0.133,6.67
6,0.062,8.54
7,-0.061,8.61
8,-0.057,8.26
9,-0.115,8.58
10,0.012,5.80
11,0.004,6.95
12,0.038,4.68